# NaAcErGa | Alexandria via LeMat-Bulk | PBE-GGA | optimized geometry
data_NaAcErGa
_chemical_formula_sum 'Na4 Ac4 Er4 Ga4'
_symmetry_space_group_name_H-M 'P 1'
_symmetry_Int_Tables_number 1
_symmetry_space_group_name_Hall 'P 1'
_cell_length_a 7.740
_cell_length_b 7.740
_cell_length_c 7.740
_cell_angle_alpha 90.00
_cell_angle_beta 90.00
_cell_angle_gamma 90.00
loop_
_atom_site_label
_atom_site_type_symbol
_atom_site_fract_x
_atom_site_fract_y
_atom_site_fract_z
Na1 Na 0.000 0.000 0.000
Na2 Na 0.000 0.500 0.500
Na3 Na 0.500 0.000 0.500
Na4 Na 0.500 0.500 0.000
Ac1 Ac 0.250 0.250 0.750
Ac2 Ac 0.250 0.750 0.250
Ac3 Ac 0.750 0.250 0.250
Ac4 Ac 0.750 0.750 0.750
Er1 Er 0.250 0.250 0.250
Er2 Er 0.250 0.750 0.750
Er3 Er 0.750 0.250 0.750
Er4 Er 0.750 0.750 0.250
Ga1 Ga 0.000 0.000 0.500
Ga2 Ga 0.000 0.500 0.000
Ga3 Ga 0.500 0.000 0.000
Ga4 Ga 0.500 0.500 0.500
# electronic total energy = -3.33 eV per atom
# symmetry = F-43m (216)

---

# Ac3ErGa2O9 | Alexandria via LeMat-Bulk | PBE-GGA | optimized geometry
data_Ac3ErGa2O9
_chemical_formula_sum 'Ac3 Er1 Ga2 O9'
_symmetry_space_group_name_H-M 'P 1'
_symmetry_Int_Tables_number 1
_symmetry_space_group_name_Hall 'P 1'
_cell_length_a 5.749
_cell_length_b 5.749
_cell_length_c 7.217
_cell_angle_alpha 90.00
_cell_angle_beta 90.00
_cell_angle_gamma 120.00
loop_
_atom_site_label
_atom_site_type_symbol
_atom_site_fract_x
_atom_site_fract_y
_atom_site_fract_z
Ac1 Ac 0.000 0.000 0.000
Ac2 Ac 0.333 0.667 0.703
Ac3 Ac 0.667 0.333 0.297
Er1 Er 0.000 0.000 0.500
Ga1 Ga 0.333 0.667 0.170
Ga2 Ga 0.667 0.333 0.830
O1 O 0.000 0.500 0.000
O2 O 0.170 0.340 0.314
O3 O 0.170 0.830 0.314
O4 O 0.340 0.170 0.686
O5 O 0.500 0.000 0.000
O6 O 0.500 0.500 0.000
O7 O 0.660 0.830 0.314
O8 O 0.830 0.170 0.686
O9 O 0.830 0.660 0.686
# E_form (uncorrected) = -2861.7 meV/atom
# symmetry = P-3m1 (164)

---

# Ac2ErGaO6 | Alexandria via LeMat-Bulk | PBE-GGA | optimized geometry
data_Ac2ErGaO6
_chemical_formula_sum 'Ac4 Er2 Ga2 O12'
_symmetry_space_group_name_H-M 'P 1'
_symmetry_Int_Tables_number 1
_symmetry_space_group_name_Hall 'P 1'
_cell_length_a 5.807
_cell_length_b 8.253
_cell_length_c 5.979
_cell_angle_alpha 90.00
_cell_angle_beta 90.00
_cell_angle_gamma 90.00
loop_
_atom_site_label
_atom_site_type_symbol
_atom_site_fract_x
_atom_site_fract_y
_atom_site_fract_z
Ac1 Ac 0.250 0.012 0.217
Ac2 Ac 0.250 0.488 0.217
Ac3 Ac 0.750 0.512 0.783
Ac4 Ac 0.750 0.988 0.783
Er1 Er 0.250 0.250 0.726
Er2 Er 0.750 0.750 0.274
Ga1 Ga 0.250 0.750 0.759
Ga2 Ga 0.750 0.250 0.241
O1 O 0.002 0.750 0.538
O2 O 0.008 0.750 0.003
O3 O 0.250 0.510 0.786
O4 O 0.250 0.990 0.786
O5 O 0.492 0.750 0.003
O6 O 0.498 0.750 0.538
O7 O 0.502 0.250 0.462
O8 O 0.508 0.250 0.997
O9 O 0.750 0.010 0.214
O10 O 0.750 0.490 0.214
O11 O 0.992 0.250 0.997
O12 O 0.998 0.250 0.462
# E_form (uncorrected) = -2968.0 meV/atom
# symmetry = Pmmn (59)

---

# AcErGaPb | Alexandria via LeMat-Bulk | PBE-GGA | optimized geometry
data_AcErGaPb
_chemical_formula_sum 'Ac4 Er4 Ga4 Pb4'
_symmetry_space_group_name_H-M 'P 1'
_symmetry_Int_Tables_number 1
_symmetry_space_group_name_Hall 'P 1'
_cell_length_a 7.782
_cell_length_b 7.782
_cell_length_c 7.782
_cell_angle_alpha 90.00
_cell_angle_beta 90.00
_cell_angle_gamma 90.00
loop_
_atom_site_label
_atom_site_type_symbol
_atom_site_fract_x
_atom_site_fract_y
_atom_site_fract_z
Ac1 Ac 0.000 0.000 0.000
Ac2 Ac 0.000 0.500 0.500
Ac3 Ac 0.500 0.000 0.500
Ac4 Ac 0.500 0.500 0.000
Er1 Er 0.000 0.000 0.500
Er2 Er 0.000 0.500 0.000
Er3 Er 0.500 0.000 0.000
Er4 Er 0.500 0.500 0.500
Ga1 Ga 0.250 0.250 0.750
Ga2 Ga 0.250 0.750 0.250
Ga3 Ga 0.750 0.250 0.250
Ga4 Ga 0.750 0.750 0.750
Pb1 Pb 0.250 0.250 0.250
Pb2 Pb 0.250 0.750 0.750
Pb3 Pb 0.750 0.250 0.750
Pb4 Pb 0.750 0.750 0.250
# electronic total energy = -4.24 eV per atom
# symmetry = F-43m (216)

---

# AcErGaPd | Alexandria via LeMat-Bulk | PBE-GGA | optimized geometry
data_AcErGaPd
_chemical_formula_sum 'Ac4 Er4 Ga4 Pd4'
_symmetry_space_group_name_H-M 'P 1'
_symmetry_Int_Tables_number 1
_symmetry_space_group_name_Hall 'P 1'
_cell_length_a 7.419
_cell_length_b 7.419
_cell_length_c 7.419
_cell_angle_alpha 90.00
_cell_angle_beta 90.00
_cell_angle_gamma 90.00
loop_
_atom_site_label
_atom_site_type_symbol
_atom_site_fract_x
_atom_site_fract_y
_atom_site_fract_z
Ac1 Ac 0.000 0.000 0.000
Ac2 Ac 0.000 0.500 0.500
Ac3 Ac 0.500 0.000 0.500
Ac4 Ac 0.500 0.500 0.000
Er1 Er 0.000 0.000 0.500
Er2 Er 0.000 0.500 0.000
Er3 Er 0.500 0.000 0.000
Er4 Er 0.500 0.500 0.500
Ga1 Ga 0.250 0.250 0.250
Ga2 Ga 0.250 0.750 0.750
Ga3 Ga 0.750 0.250 0.750
Ga4 Ga 0.750 0.750 0.250
Pd1 Pd 0.250 0.250 0.750
Pd2 Pd 0.250 0.750 0.250
Pd3 Pd 0.750 0.250 0.250
Pd4 Pd 0.750 0.750 0.750
# electronic total energy = -4.79 eV per atom
# symmetry = F-43m (216)

---

# AcPmErGa | Alexandria via LeMat-Bulk | PBE-GGA | optimized geometry
data_AcPmErGa
_chemical_formula_sum 'Ac4 Pm4 Er4 Ga4'
_symmetry_space_group_name_H-M 'P 1'
_symmetry_Int_Tables_number 1
_symmetry_space_group_name_Hall 'P 1'
_cell_length_a 7.794
_cell_length_b 7.794
_cell_length_c 7.794
_cell_angle_alpha 90.00
_cell_angle_beta 90.00
_cell_angle_gamma 90.00
loop_
_atom_site_label
_atom_site_type_symbol
_atom_site_fract_x
_atom_site_fract_y
_atom_site_fract_z
Ac1 Ac 0.000 0.000 0.000
Ac2 Ac 0.000 0.500 0.500
Ac3 Ac 0.500 0.000 0.500
Ac4 Ac 0.500 0.500 0.000
Pm1 Pm 0.250 0.250 0.250
Pm2 Pm 0.250 0.750 0.750
Pm3 Pm 0.750 0.250 0.750
Pm4 Pm 0.750 0.750 0.250
Er1 Er 0.250 0.250 0.750
Er2 Er 0.250 0.750 0.250
Er3 Er 0.750 0.250 0.250
Er4 Er 0.750 0.750 0.750
Ga1 Ga 0.000 0.000 0.500
Ga2 Ga 0.000 0.500 0.000
Ga3 Ga 0.500 0.000 0.000
Ga4 Ga 0.500 0.500 0.500
# electronic total energy = -4.07 eV per atom
# symmetry = F-43m (216)